NaMo2Ru | PBE-GGA | optimized geometry

a b c (Å): 7.361 7.361 5.851
angles (deg): 51.02 51.02 90.00
Sites, in units of the cell vectors:
Ru1 0.000 0.000 0.000
Ru2 0.750 0.250 0.500
Mo1 0.673 0.125 0.250
Mo2 0.077 0.625 0.250
Mo3 0.375 0.327 0.750
Mo4 0.875 0.923 0.750
Na1 0.500 0.500 0.000
Na2 0.250 0.750 0.500

Energy of formation from the pure elements: 1063 meV/atom
M_tot: 0.00 μB/f.u.
Relative energy among the computed polymorphs: 0.173 eV per atom

***

NaMoS2 | PBE-GGA | optimized geometry

a b c (Å): 6.069 6.069 6.876
angles (deg): 63.81 63.81 90.00
Sites, in units of the cell vectors:
Na1 0.500 0.500 0.000
Na2 0.250 0.750 0.500
Mo1 0.000 0.000 0.000
Mo2 0.750 0.250 0.500
S1 0.697 0.125 0.250
S2 0.053 0.625 0.250
S3 0.375 0.303 0.750
S4 0.875 0.947 0.750

M_tot: 0.00 μB/f.u.
Raw formation energy: -2.110 eV/f.u.

***

NaMo3S | PBE-GGA | optimized geometry

a b c (Å): 4.595 4.595 4.595
angles (deg): 90.00 90.00 90.00
Site moments in Bohr magnetons follow the coordinates.
Sites, in units of the cell vectors:
Na1 0.000 0.000 0.000  0.07
Mo1 0.000 0.500 0.000  0.72
Mo2 0.000 0.000 0.500  1.02
Mo3 0.500 0.000 0.000  0.99
S1 0.500 0.500 0.500  -0.06

M_tot: 3.06 μB/f.u.
Raw formation energy: 14.270 eV/f.u.
Relative energy among the computed polymorphs: 2.088 eV per atom

***

NaMoS3 | PBE-GGA | optimized geometry

a b c (Å): 6.178 7.371 12.241
angles (deg): 97.29 90.00 90.00
Sites, in units of the cell vectors:
Na1 0.687 0.949 0.731
Na2 0.313 0.051 0.269
Na3 0.187 0.551 0.769
Na4 0.813 0.449 0.231
Mo1 0.205 0.545 0.456
Mo2 0.795 0.455 0.544
Mo3 0.705 0.955 0.044
Mo4 0.295 0.045 0.956
S1 0.985 0.725 0.583
S2 0.015 0.275 0.417
S3 0.485 0.775 0.917
S4 0.515 0.225 0.083
S5 0.479 0.654 0.588
S6 0.521 0.346 0.412
S7 0.979 0.846 0.912
S8 0.021 0.154 0.088
S9 0.184 0.685 0.311
S10 0.816 0.315 0.689
S11 0.684 0.815 0.189
S12 0.316 0.185 0.811

M_tot: 0.00 μB/f.u.
Raw formation energy: -3.667 eV/f.u.
Relative energy among the computed polymorphs: 0.000 eV per atom

***

NaMoS3 | PBE-GGA | optimized geometry

a b c (Å): 4.736 4.736 4.736
angles (deg): 90.00 90.00 90.00
Sites, in units of the cell vectors:
Na1 0.500 0.500 0.500
Mo1 0.000 0.000 0.000
S1 0.000 0.500 0.000
S2 0.000 0.000 0.500
S3 0.500 0.000 0.000

M_tot: 0.00 μB/f.u.
Raw formation energy: -2.217 eV/f.u.
Relative energy among the computed polymorphs: 0.290 eV per atom

***

NaMo3S | PBE-GGA | optimized geometry

a b c (Å): 4.504 4.504 4.504
angles (deg): 90.00 90.00 90.00
Sites, in units of the cell vectors:
Na1 0.500 0.500 0.500
Mo1 0.000 0.500 0.000
Mo2 0.000 0.000 0.500
Mo3 0.500 0.000 0.000
S1 0.000 0.000 0.000

M_tot: 0.00 μB/f.u.
Raw formation energy: 3.829 eV/f.u.
Relative energy among the computed polymorphs: 0.000 eV per atom

***

NaMoS2 | PBE-GGA | optimized geometry

a b c (Å): 4.426 4.426 4.426
angles (deg): 60.00 60.00 60.00
Site moments in Bohr magnetons follow the coordinates.
Sites, in units of the cell vectors:
Na1 0.000 0.000 0.000  0.00
Mo1 0.500 0.500 0.500  0.87
S1 0.250 0.250 0.250  -0.01
S2 0.750 0.750 0.750  -0.01

M_tot: 1.00 μB/f.u.
Raw formation energy: -0.854 eV/f.u.

***

NaMo6S8 | PBE-GGA | optimized geometry

a b c (Å): 6.551 6.551 6.551
angles (deg): 90.13 90.13 90.13
Sites, in units of the cell vectors:
Na1 0.000 0.000 0.000
Mo1 0.590 0.443 0.780
Mo2 0.443 0.780 0.590
Mo3 0.780 0.590 0.443
Mo4 0.410 0.557 0.220
Mo5 0.557 0.220 0.410
Mo6 0.220 0.410 0.557
S1 0.766 0.766 0.766
S2 0.234 0.234 0.234
S3 0.610 0.871 0.265
S4 0.871 0.265 0.610
S5 0.265 0.610 0.871
S6 0.390 0.129 0.735
S7 0.129 0.735 0.390
S8 0.735 0.390 0.129

M_tot: 0.00 μB/f.u.
Raw formation energy: -11.512 eV/f.u.